Na3Pr3GeSe8, relaxed, DFT PBE; crystal system = trigonal; DOS(E_F) = 5.0 states/eV per cell; raw formation energy = -1.298 eV/atom
1.0
-7.135 4.397 1.093
1.905 -3.139 -7.612
-2.321 -5.335 6.316
Se Pr Na Ge
8 3 3 1
direct
0.222 0.998 0.719 Se
0.221 0.443 0.719 Se
0.746 0.492 0.738 Se
0.224 0.002 0.281 Se
0.778 0.002 0.281 Se
0.254 0.508 0.262 Se
0.779 0.557 0.281 Se
0.776 0.998 0.719 Se
0.000 0.500 0.500 Pr
0.500 0.000 0.500 Pr
0.500 0.500 0.500 Pr
0.000 0.500 0.000 Na
0.000 0.000 0.000 Na
0.500 0.500 0.000 Na
0.000 0.000 0.500 Ge